HfNi4P2: relaxed, PBE.

Properties
* energy: -6.929 eV per atom
* ΔE to the lowest computed polymorph: 0.111 eV/atom
* formation energy: -0.66 eV/atom

Geometry as CIF:
```
data_HfNi4P2
_chemical_formula_sum 'Hf1 Ni4 P2'
_space_group_name_H-M_alt 'P 1'
_space_group_IT_number 1
_cell_length_a 3.8128
_cell_length_b 3.8128
_cell_length_c 7.2979
_cell_angle_alpha 74.86
_cell_angle_beta 74.86
_cell_angle_gamma 60.00
loop_
_space_group_symop_operation_xyz
'x,y,z'
loop_
_atom_site_label
_atom_site_fract_x
_atom_site_fract_y
_atom_site_fract_z
_atom_site_occupancy
Hf1 0.0000 0.0000 0.0000 1
Ni1 0.4190 0.4190 0.7430 1
Ni2 0.1393 0.1393 0.5821 1
Ni3 0.5810 0.5810 0.2570 1
Ni4 0.8607 0.8607 0.4179 1
P1 0.2491 0.2491 0.2527 1
P2 0.7509 0.7509 0.7473 1
```